Material: MgCrIr2O
Method: DFT, PBE+U
State: relaxed

```
MgCrIr2O
1.0
4.849 0.000 0.000
0.000 3.565 0.000
0.000 0.000 4.849
Cr Mg Ir O
1 1 2 1
Direct
0.500 0.500 0.500 Cr
0.000 0.000 0.000 Mg
0.000 0.000 0.500 Ir
0.500 0.000 0.000 Ir
0.000 0.500 0.000 O
```

## Properties
As for the total energy: -26.88 eV/cell.